# 1
VASP calculation (PBEsol) on an optimized crystal structure of MgNi2S.

Summary:
formation energy from raw total energies	-0.019	eV/atom
calculated volume	12.0	A^3/atom
magnetic moment	0.00	Bohr magnetons per cell
mass density	6.0	g/cm³
electronic total energy	-4.62	eV per atom

Cell lengths 4.082, 4.082, 4.082 Å; angles 60.00, 60.00, 60.00 degrees
Fractional positions:
1 Ni 0.250 0.250 0.250
2 Ni 0.750 0.750 0.750
3 Mg 0.000 0.000 0.000
4 S 0.500 0.500 0.500

***

# 2
VASP calculation (PBEsol) on an optimized crystal structure of Y3Ge13Os4.

Summary:
DFT formation energy	-8.0	eV/f.u.
calculated volume	18.0	A^3/atom
magnetic moment	0.00	Bohr magnetons per cell
mass density	9.1	g/cm³
electronic total energy	-7.08	eV per atom

Cell lengths 8.965, 8.965, 8.965 Å; angles 90.00, 90.00, 90.00 degrees
Fractional positions:
1 Ge 0.000 0.145 0.702
2 Ge 0.702 0.000 0.855
3 Ge 0.855 0.702 0.000
4 Ge 0.298 0.000 0.145
5 Ge 0.500 0.798 0.355
6 Ge 0.355 0.500 0.798
7 Ge 0.500 0.798 0.645
8 Ge 0.645 0.500 0.202
9 Ge 0.000 0.855 0.702
10 Ge 0.298 0.000 0.855
11 Ge 0.355 0.500 0.202
12 Ge 0.202 0.645 0.500
13 Ge 0.798 0.645 0.500
14 Ge 0.202 0.355 0.500
15 Ge 0.000 0.855 0.298
16 Ge 0.500 0.202 0.645
17 Ge 0.500 0.202 0.355
18 Ge 0.000 0.000 0.000
19 Ge 0.145 0.298 0.000
20 Ge 0.000 0.145 0.298
21 Ge 0.798 0.355 0.500
22 Ge 0.645 0.500 0.798
23 Ge 0.702 0.000 0.145
24 Ge 0.500 0.500 0.500
25 Ge 0.145 0.702 0.000
26 Ge 0.855 0.298 0.000
27 Os 0.250 0.750 0.750
28 Os 0.750 0.750 0.250
29 Os 0.750 0.250 0.250
30 Os 0.750 0.250 0.750
31 Os 0.250 0.750 0.250
32 Os 0.250 0.250 0.750
33 Os 0.750 0.750 0.750
34 Os 0.250 0.250 0.250
35 Y 0.000 0.500 0.250
36 Y 0.750 0.000 0.500
37 Y 0.500 0.250 0.000
38 Y 0.250 0.000 0.500
39 Y 0.000 0.500 0.750
40 Y 0.500 0.750 0.000

***

# 3
VASP calculation (PBEsol) on an optimized crystal structure of Li2ZrTeO.

Summary:
formation energy from raw total energies	-1.397	eV/atom
calculated volume	15.1	A^3/atom
magnetic moment	0.00	Bohr magnetons per cell
mass density	5.5	g/cm³
electronic total energy	-5.76	eV per atom

Cell lengths 4.159, 4.159, 4.355 Å; angles 90.00, 90.00, 90.00 degrees
Fractional positions:
1 Zr 0.000 0.000 0.500
2 Te 0.500 0.500 0.500
3 Li 0.000 0.500 0.000
4 Li 0.500 0.000 0.000
5 O 0.000 0.000 0.000

***

# 4
VASP calculation (PBEsol) on an optimized crystal structure of CoP2Se.

Summary:
formation energy from raw total energies	0.526	eV/atom
calculated volume	13.9	A^3/atom
magnetic moment	0.00	Bohr magnetons per cell
mass density	6.0	g/cm³
electronic total energy	-5.27	eV per atom

Cell lengths 3.104, 4.316, 4.316 Å; angles 106.02, 90.00, 90.00 degrees
Fractional positions:
1 Se 0.500 0.000 0.000
2 P 0.000 0.000 0.500
3 P 0.000 0.500 0.000
4 Co 0.500 0.500 0.500

***

# 5
VASP calculation (PBEsol) on an optimized crystal structure of LuZnPt.

Summary:
DFT formation energy	-3.0	eV/f.u.
calculated volume	18.0	A^3/atom
magnetic moment	0.00	Bohr magnetons per cell
mass density	13.4	g/cm³
electronic total energy	-5.47	eV per atom

Cell lengths 3.949, 6.782, 8.073 Å; angles 90.00, 90.00, 90.00 degrees
Fractional positions:
1 Pt 0.250 0.244 0.374
2 Pt 0.250 0.744 0.126
3 Pt 0.750 0.256 0.874
4 Pt 0.750 0.756 0.626
5 Lu 0.750 0.450 0.184
6 Lu 0.750 0.950 0.316
7 Lu 0.250 0.050 0.684
8 Lu 0.250 0.550 0.816
9 Zn 0.750 0.870 0.937
10 Zn 0.250 0.630 0.437
11 Zn 0.750 0.370 0.563
12 Zn 0.250 0.130 0.063

***

# 6
VASP calculation (PBEsol) on an optimized crystal structure of SnHgBr2.

Summary:
energy relative to the lowest polymorph listed for this composition	10.4	kJ/mol of atoms
formation energy from raw total energies	-0.319	eV/atom
calculated volume	26.5	A^3/atom
magnetic moment	0.00	Bohr magnetons per cell
mass density	7.5	g/cm³
electronic total energy	-2.46	eV per atom

Cell lengths 5.309, 5.309, 5.309 Å; angles 60.00, 60.00, 60.00 degrees
Fractional positions:
1 Br 0.250 0.250 0.250
2 Br 0.750 0.750 0.750
3 Sn 0.000 0.000 0.000
4 Hg 0.500 0.500 0.500

***

# 7
VASP calculation (PBEsol) on an optimized crystal structure of SrSe2I.

Summary:
formation energy from raw total energies	-0.732	eV/atom
calculated volume	39.7	A^3/atom
magnetic moment	0.00	Bohr magnetons per cell
mass density	3.9	g/cm³
electronic total energy	-3.56	eV per atom

Cell lengths 4.777, 4.777, 8.496 Å; angles 73.67, 73.67, 60.00 degrees
Fractional positions:
1 Sr 0.500 0.500 0.500
2 I 0.000 0.000 0.000
3 Se 0.888 0.888 0.335
4 Se 0.112 0.112 0.665

***

# 8
VASP calculation (PBEsol) on an optimized crystal structure of Mg5In4.

Summary:
energy relative to the lowest polymorph listed for this composition	0.0	kJ/mol of atoms
DFT formation energy	-0.8	eV/f.u.
calculated volume	22.7	A^3/atom
magnetic moment	0.00	Bohr magnetons per cell
mass density	4.7	g/cm³
electronic total energy	-2.37	eV per atom

Cell lengths 4.537, 7.081, 7.081 Å; angles 84.11, 71.31, 71.31 degrees
Fractional positions:
1 Mg 0.333 0.000 0.335
2 Mg 0.333 0.335 0.000
3 Mg 0.667 0.665 0.000
4 Mg 0.000 0.000 0.000
5 Mg 0.667 0.000 0.665
6 In 0.000 0.325 0.675
7 In 0.000 0.675 0.325
8 In 0.325 0.675 0.675
9 In 0.675 0.325 0.325

***

# 9
VASP calculation (PBEsol) on an optimized crystal structure of CaTcW2.

Summary:
energy relative to the lowest polymorph listed for this composition	0.0	kJ/mol of atoms
DFT formation energy	2.9	eV/f.u.
calculated volume	17.1	A^3/atom
magnetic moment	0.00	Bohr magnetons per cell
mass density	12.3	g/cm³
electronic total energy	-9.54	eV per atom

Cell lengths 3.072, 4.834, 5.420 Å; angles 116.49, 106.46, 90.00 degrees
Fractional positions:
1 W 0.992 0.992 0.985
2 W 0.731 0.231 0.462
3 Ca 0.506 0.506 0.012
4 Tc 0.270 0.770 0.541

***

# 10
VASP calculation (PBEsol) on an optimized crystal structure of Ba4AlMo.

Summary:
DFT formation energy	7.0	eV/f.u.
calculated volume	38.4	A^3/atom
magnetic moment	3.22	Bohr magnetons per cell
mass density	4.8	g/cm³
electronic total energy	-2.91	eV per atom

Cell lengths 6.883, 6.883, 6.883 Å; angles 60.00, 60.00, 60.00 degrees
Fractional positions:
1 Ba 0.375 0.375 0.876
2 Ba 0.876 0.375 0.375
3 Ba 0.375 0.876 0.375
4 Ba 0.375 0.375 0.375
5 Mo 0.750 0.750 0.750
6 Al 0.000 0.000 0.000

***

# 11
VASP calculation (PBEsol) on an optimized crystal structure of TaIn2As.

Summary:
DFT formation energy	1.1	eV/f.u.
calculated volume	19.9	A^3/atom
magnetic moment	0.00	Bohr magnetons per cell
mass density	10.2	g/cm³
electronic total energy	-5.63	eV per atom

Cell lengths 3.001, 3.001, 8.949 Å; angles 90.00, 90.00, 99.84 degrees
Fractional positions:
1 In 0.000 0.000 0.257
2 In 0.000 0.000 0.743
3 Ta 0.500 0.500 0.500
4 As 0.500 0.500 0.000

***

# 12
VASP calculation (PBEsol) on an optimized crystal structure of KLi3In.

Summary:
DFT formation energy	0.1	eV/f.u.
calculated volume	31.0	A^3/atom
magnetic moment	0.00	Bohr magnetons per cell
mass density	1.9	g/cm³
electronic total energy	-1.99	eV per atom

Cell lengths 5.371, 5.371, 5.371 Å; angles 90.00, 90.00, 90.00 degrees
Fractional positions:
1 Li 0.000 0.000 0.500
2 Li 0.500 0.000 0.000
3 Li 0.000 0.500 0.000
4 In 0.000 0.000 0.000
5 K 0.500 0.500 0.500

***

Which of these has the lowest calculated volume?
MgNi2S

***

mass density of number 12 (KLi3In)?
1.9 g/cm³

***

Which value of calculated volume does entry 7 give?
39.7 A^3/atom

***

Repeat the fourth record exactly.
VASP calculation (PBEsol) on an optimized crystal structure of CoP2Se.

Summary:
formation energy from raw total energies	0.526	eV/atom
calculated volume	13.9	A^3/atom
magnetic moment	0.00	Bohr magnetons per cell
mass density	6.0	g/cm³
electronic total energy	-5.27	eV per atom

Cell lengths 3.104, 4.316, 4.316 Å; angles 106.02, 90.00, 90.00 degrees
Fractional positions:
1 Se 0.500 0.000 0.000
2 P 0.000 0.000 0.500
3 P 0.000 0.500 0.000
4 Co 0.500 0.500 0.500